(1)
Density functional theory data (GGA-PBE) for a relaxed BaZn2GaRh2 crystal.

a = 4.6627 Å, b = 4.6627 Å, c = 6.2869 Å
α = 90.00°, β = 90.00°, γ = 90.00°
Closest atoms and distances in Å follow each position.
Element x y z (fractional)
Ba (0.0000, 0.0000, 0.5000)  2 Ga 3.14
Zn (0.5000, 0.5000, 0.7847)  4 Rh 2.70, 1 Zn 2.71
Zn (0.5000, 0.5000, 0.2153)  4 Rh 2.70, 1 Zn 2.71
Ga (0.0000, 0.0000, 0.0000)  4 Rh 2.33
Rh (0.5000, 0.0000, 0.0000)  2 Ga 2.33
Rh (0.0000, 0.5000, 0.0000)  2 Ga 2.33

Summary:
E: -3.9766 eV/atom
ΔE_f: -0.2765 eV/atom
Symmetry: P4/mmm
Total magnetization: 0.001 μB/f.u.


(2)
Density functional theory data (GGA-PBE) for a relaxed Dy3Th3Sc2 crystal.

a = 4.8894 Å, b = 4.9354 Å, c = 9.9524 Å
α = 90.00°, β = 90.00°, γ = 90.00°
Closest atoms and distances in Å follow each position.
Element x y z (fractional)
Dy (0.5000, 0.0000, 0.5000)  4 Dy 3.47, 4 Th 3.49, 4 Sc 3.51
Dy (0.0000, 0.5000, 0.0000)  8 Th 3.47-3.50, 4 Sc 3.49
Dy (0.0000, 0.5000, 0.5000)  4 Dy 3.47, 4 Th 3.48, 4 Sc 3.52
Th (0.5000, 0.5000, 0.7485)  4 Sc 3.47, 6 Dy 3.48-3.50, 2 Th 3.51
Th (0.5000, 0.5000, 0.2515)  4 Sc 3.47, 6 Dy 3.48-3.50, 2 Th 3.51
Th (0.5000, 0.0000, 0.0000)  4 Sc 3.47, 4 Dy 3.47, 4 Th 3.51
Sc (0.0000, 0.0000, 0.7526)  6 Th 3.47, 6 Dy 3.49-3.52
Sc (0.0000, 0.0000, 0.2474)  6 Th 3.47, 6 Dy 3.49-3.52

Summary:
E: -6.0475 eV/atom
ΔE_f: 0.0436 eV/atom
Symmetry: Pmmm
Total magnetization: 0.000 μB/f.u.